Here is a geometry-optimized SmInPdRu structure from Alexandria via LeMat-Bulk. Energies are from GGA-PBE. Values from VASP.

The structure in Quantum ESPRESSO input format:
```
&SYSTEM
  ibrav = 0, nat = 4, ntyp = 4
/
ATOMIC_SPECIES
Sm 150.36 Sm.upf
In 114.82 In.upf
Pd 106.42 Pd.upf
Ru 101.07 Ru.upf
CELL_PARAMETERS angstrom
0.0000 3.3889 3.3889
3.3889 0.0000 3.3889
3.3889 3.3889 0.0000
ATOMIC_POSITIONS crystal
Sm 0.0000 0.0000 0.0000
In 0.5000 0.5000 0.5000
Pd 0.2500 0.2500 0.2500
Ru 0.7500 0.7500 0.7500
```

Computed properties:
mass density = 10.08 g/cm3
density of states at the Fermi level = 1.0 states/eV/cell
space group = F-43m, No. 216
energy of formation = -0.42 eV/atom